Entry from Alexandria: crystalline SrPm2GaN4 at its relaxed geometry (PBE-GGA).

Computed properties:
ΔE_f (raw), eV per atom: -0.843
Calculated density, g cm⁻³: 6.4
Space group: No. 63
Crystal system: orthorhombic
Total magnetic moment, μB per formula unit: 0.91

a = 3.556 Å, b = 6.310 Å, c = 12.154 Å
α = 90.00°, β = 90.00°, γ = 106.37°
Fractional positions:
Sr1 0.100 0.200 0.750
Sr2 0.900 0.800 0.250
Pm1 0.368 0.736 0.547
Pm2 0.632 0.264 0.047
Pm3 0.632 0.264 0.453
Pm4 0.368 0.736 0.953
Ga1 0.833 0.666 0.750
Ga2 0.167 0.334 0.250
N1 0.259 0.518 0.119
N2 0.741 0.482 0.619
N3 0.741 0.482 0.881
N4 0.259 0.518 0.381
N5 0.000 0.000 0.500
N6 0.000 0.000 0.000
N7 0.425 0.849 0.750
N8 0.575 0.151 0.250

---

Entry from Alexandria: crystalline TbPm2GaN at its relaxed geometry (PBE-GGA).

Computed properties:
ΔE_f (raw), eV per atom: -0.883
Calculated density, g cm⁻³: 7.6
Space group: No. 123
Crystal system: tetragonal
Total magnetic moment, μB per formula unit: 0.00

a = 4.784 Å, b = 4.929 Å, c = 4.929 Å
α = 90.00°, β = 90.00°, γ = 90.00°
Fractional positions:
Tb1 0.500 0.000 0.000
Pm1 0.000 0.000 0.500
Pm2 0.000 0.500 0.000
Ga1 0.500 0.500 0.500
N1 0.000 0.000 0.000

---

Entry from Alexandria: crystalline PmTmGaN3 at its relaxed geometry (PBE-GGA).

Computed properties:
ΔE_f (raw), eV per atom: -1.010
Calculated density, g cm⁻³: 7.6
Space group: No. 11
Crystal system: monoclinic
Total magnetic moment, μB per formula unit: 0.00

a = 3.410 Å, b = 7.185 Å, c = 7.610 Å
α = 97.43°, β = 90.00°, γ = 90.00°
Fractional positions:
Pm1 0.250 0.175 0.186
Pm2 0.750 0.825 0.814
Tm1 0.250 0.639 0.151
Tm2 0.750 0.361 0.849
Ga1 0.250 0.110 0.603
Ga2 0.750 0.890 0.397
N1 0.750 0.870 0.142
N2 0.250 0.130 0.858
N3 0.250 0.828 0.510
N4 0.750 0.172 0.490
N5 0.750 0.404 0.142
N6 0.250 0.596 0.858

---

Entry from Alexandria: crystalline Pm2GaWN5 at its relaxed geometry (PBE-GGA).

Computed properties:
ΔE_f (raw), eV per atom: -0.809
Calculated density, g cm⁻³: 8.9
Space group: No. 36
Crystal system: orthorhombic
Total magnetic moment, μB per formula unit: 0.00

a = 3.225 Å, b = 7.132 Å, c = 10.265 Å
α = 90.00°, β = 90.00°, γ = 103.07°
Fractional positions:
Pm1 0.872 0.743 0.787
Pm2 0.112 0.223 0.705
Pm3 0.128 0.257 0.287
Pm4 0.888 0.777 0.205
Ga1 0.519 0.039 0.974
Ga2 0.481 0.961 0.474
W1 0.778 0.555 0.506
W2 0.222 0.445 0.006
N1 0.360 0.720 0.004
N2 0.702 0.404 0.875
N3 0.500 0.000 0.788
N4 0.283 0.566 0.636
N5 0.936 0.873 0.551
N6 0.640 0.280 0.504
N7 0.298 0.596 0.375
N8 0.500 0.000 0.288
N9 0.717 0.434 0.136
N10 0.064 0.127 0.051

---

Entry from Alexandria: crystalline PmY2GaN at its relaxed geometry (PBE-GGA).

Computed properties:
ΔE_f (raw), eV per atom: -0.938
Calculated density, g cm⁻³: 6.0
Space group: No. 123
Crystal system: tetragonal
Total magnetic moment, μB per formula unit: 0.00

a = 4.922 Å, b = 4.769 Å, c = 4.769 Å
α = 90.00°, β = 90.00°, γ = 90.00°
Fractional positions:
Pm1 0.500 0.000 0.000
Y1 0.000 0.000 0.500
Y2 0.000 0.500 0.000
Ga1 0.500 0.500 0.500
N1 0.000 0.000 0.000

---

Entry from Alexandria: crystalline Pr7Ga2N2 at its relaxed geometry (PBE-GGA).

Computed properties:
ΔE_f (raw), eV per atom: -0.518
Calculated density, g cm⁻³: 6.7
Space group: No. 12
Crystal system: monoclinic
Total magnetic moment, μB per formula unit: 0.00

a = 6.840 Å, b = 6.674 Å, c = 6.840 Å
α = 95.54°, β = 113.33°, γ = 84.46°
Fractional positions:
Pr1 0.049 0.237 0.506
Pr2 0.506 0.763 0.049
Pr3 0.951 0.763 0.494
Pr4 0.494 0.237 0.951
Pr5 0.000 0.000 0.000
Pr6 0.445 0.780 0.555
Pr7 0.555 0.220 0.445
Ga1 0.833 0.500 0.833
Ga2 0.167 0.500 0.167
N1 0.771 0.027 0.229
N2 0.229 0.973 0.771

---

Entry from Alexandria: crystalline Pr8Ga2N at its relaxed geometry (PBE-GGA).

Computed properties:
ΔE_f (raw), eV per atom: -0.237
Calculated density, g cm⁻³: 6.9
Space group: No. 12
Crystal system: monoclinic
Total magnetic moment, μB per formula unit: 0.00

a = 5.578 Å, b = 6.501 Å, c = 9.520 Å
α = 109.93°, β = 107.04°, γ = 90.00°
Fractional positions:
Pr1 0.421 0.606 0.842
Pr2 0.633 0.953 0.266
Pr3 0.780 0.716 0.561
Pr4 0.996 0.240 0.992
Pr5 0.220 0.284 0.439
Pr6 0.367 0.047 0.734
Pr7 0.579 0.394 0.158
Pr8 0.004 0.760 0.008
Ga1 0.826 0.276 0.651
Ga2 0.174 0.724 0.349
N1 0.500 0.000 0.000

---

Entry from Alexandria: crystalline PrGaN at its relaxed geometry (PBE-GGA).

Computed properties:
ΔE_f (raw), eV per atom: -0.736
Calculated density, g cm⁻³: 5.7
Space group: No. 63
Crystal system: orthorhombic
Total magnetic moment, μB per formula unit: 0.00

a = 6.325 Å, b = 6.325 Å, c = 4.286 Å
α = 90.00°, β = 90.00°, γ = 130.66°
Fractional positions:
Ga1 0.547 0.453 0.750
Ga2 0.453 0.547 0.250
Pr1 0.188 0.812 0.750
Pr2 0.812 0.188 0.250
N1 0.283 0.717 0.250
N2 0.717 0.283 0.750

---

- total magnetic moment of number 6 (Pr7Ga2N2)?
  0.00 μB per formula unit